# 1
A plane-wave DFT calculation with PBE was carried out for a geometry-optimized Sm2Si2O5 structure.

Properties
total magnetic moment = 0.00 μB/atom
final energy = -64.97 eV for the cell shown

Cell: 3.9238 3.9238 6.6892 Å, 90.00 90.00 90.00°
Closest atoms and distances in Å follow each position.
Space group P4/mmm (No. 123)
Inequivalent atoms, fractional coordinates:
Sm1 0.0000 0.0000 0.0000 (multiplicity 1)  8 O 2.56
Sm2 0.0000 0.0000 0.5000 (multiplicity 1)  12 O 2.60-2.77
Si1 0.5000 0.5000 0.2333 (multiplicity 2)  5 O 1.78-1.96
O1 0.0000 0.5000 0.2455 (multiplicity 4)  2 Si 1.96
O2 0.5000 0.5000 0.5000 (multiplicity 1)  2 Si 1.78

# 2
A plane-wave DFT calculation with PBE was carried out for a geometry-optimized Sm5Si3O13 structure.

Properties
total magnetic moment = 0.00 μB/atom
final energy = -342.20 eV for the cell shown

Cell: 9.4874 9.4874 6.9650 Å, 90.00 90.00 120.00°
Closest atoms and distances in Å follow each position.
Space group P6_3/m (No. 176)
Inequivalent atoms, fractional coordinates:
Sm1 0.0099 0.2411 0.2500 (multiplicity 6)  6 O 2.24-2.50
Sm2 0.3333 0.6667 0.0016 (multiplicity 4)  6 O 2.40-2.49
Si1 0.0284 0.3979 0.7500 (multiplicity 6)  4 O 1.63-1.64
O1 0.0000 0.0000 0.2500 (multiplicity 2)  3 Sm 2.24
O2 0.0945 0.3429 0.5627 (multiplicity 12)  1 Si 1.64
O3 0.1228 0.5976 0.7500 (multiplicity 6)  1 Si 1.64
O4 0.1697 0.6877 0.2500 (multiplicity 6)  1 Si 1.63